No. 1
Below is crystalline Nd6P3SeS2 at its relaxed geometry, with properties calculated at the PBE level.

The energy relative to the elements, uncorrected is -1.8189 eV/atom. For the density of states at the Fermi level, the calculation gives 0.356 states/eV/atom. The total energy is -6.53 eV/atom.

The structure belongs to space group C2/m (No. 12); the cell edges are 18.139, 4.143 and 8.323 Å and the angles 90.00°, 103.76° and 90.00°. Symmetry generates all atoms from Nd at (0.001, 0.000, 0.238), Nd at (0.165, 0.500, 0.087), Nd at (0.171, 0.500, 0.580), P at (0.000, 0.500, 0.000), P at (0.166, 0.000, 0.332), Se at (0.000, 0.500, 0.500) and S at (0.167, 0.000, 0.833).



No. 2
Below is crystalline TlGaHg5 at its relaxed geometry, with properties calculated at the PBE level.

For the density of states at the Fermi level, the calculation gives 0.222 states/eV/atom. The formation energy is 0.1251 eV per atom. The energy relative to the lowest polymorph listed for this composition is 2.392 kcal/mol of atoms. The total energy is -0.86 eV/atom.

The structure belongs to space group Immm (No. 71); the cell edges are 5.404, 8.769 and 11.662 Å and the angles 90.00°, 90.00° and 90.00°. Symmetry generates all atoms from Tl at (0.000, 0.000, 0.000), Ga at (0.000, 0.000, 0.500), Hg at (0.000, 0.000, 0.261), Hg at (0.000, 0.315, 0.500) and Hg at (0.000, 0.500, 0.000).



No. 3
Below is crystalline CaBe2Pt2 at its relaxed geometry, with properties calculated at the PBE level.

For the density of states at the Fermi level, the calculation gives 0.313 states/eV/atom. The formation energy is -0.6632 eV per atom. The energy relative to the lowest polymorph listed for this composition is 2.953 kcal/mol of atoms. The total energy is -4.97 eV/atom.

The structure belongs to space group P4/mbm (No. 127); the cell edges are 7.118, 7.118 and 2.809 Å and the angles 90.00°, 90.00° and 90.00°. Symmetry generates all atoms from Ca at (0.000, 0.000, 0.000), Be at (0.117, 0.383, 0.000) and Pt at (0.167, 0.667, 0.500).



No. 4
Below is crystalline NaTl5Se3 at its relaxed geometry, with properties calculated at the PBE level.

The energy relative to the elements, uncorrected is -0.3498 eV/atom. The energy relative to the lowest polymorph listed for this composition is 0.150 kcal/mol of atoms. The total energy is -2.97 eV/atom.

The structure belongs to space group C2/m (No. 12); the cell edges are 12.326, 9.709 and 12.396 Å and the angles 90.00°, 116.57° and 90.00°. Symmetry generates all atoms from Na at (0.019, 0.000, 0.263), Tl at (0.000, 0.322, 0.000), Tl at (0.032, 0.500, 0.356), Tl at (0.224, 0.181, 0.626), Tl at (0.238, 0.500, 0.910), Se at (0.000, 0.000, 0.000), Se at (0.000, 0.000, 0.500), Se at (0.194, 0.500, 0.621) and Se at (0.248, 0.500, 0.159).



No. 5
Below is crystalline CsMg2O at its relaxed geometry, with properties calculated at the PBE level.

The energy relative to the elements, uncorrected is -0.7561 eV/atom. For the density of states at the Fermi level, the calculation gives 0.578 states/eV/atom. The total energy is -3.01 eV/atom.

The structure belongs to space group I4_1/amd (No. 141, origin choice 2); the cell edges are 6.827, 6.827 and 9.675 Å and the angles 90.00°, 90.00° and 90.00°. Symmetry generates all atoms from Cs at (0.000, 0.250, 0.375), Mg at (0.000, 0.000, 0.000) and O at (0.000, 0.250, 0.875).



No. 6
Below is crystalline NpSbBr at its relaxed geometry, with properties calculated at the PBE level.

The energy relative to the elements, uncorrected is -0.5794 eV/atom. For the density of states at the Fermi level, the calculation gives 2.484 states/eV/atom. The energy relative to the lowest polymorph listed for this composition is 0.000 kcal/mol of atoms. The total energy is -6.82 eV/atom.

The structure belongs to space group Pmma (No. 51); the cell edges are 15.683, 4.258 and 8.207 Å and the angles 90.00°, 90.00° and 90.00°. Symmetry generates all atoms from Np at (0.114, 0.000, 0.083), Np at (0.250, 0.500, 0.526), Sb at (0.031, 0.500, 0.836), Sb at (0.250, 0.500, 0.151), Br at (0.120, 0.000, 0.457) and Br at (0.250, 0.000, 0.799).



No. 7
Below is crystalline Ca2ZnSe at its relaxed geometry, with properties calculated at the PBE level.

The energy relative to the elements, uncorrected is -0.8477 eV/atom. For the density of states at the Fermi level, the calculation gives 0.945 states/eV/atom. The energy relative to the lowest polymorph listed for this composition is 1.978 kcal/mol of atoms. The total energy is -3.04 eV/atom.

The structure belongs to space group P4/mmm (No. 123); the cell edges are 4.278, 4.278 and 6.092 Å and the angles 90.00°, 90.00° and 90.00°. Symmetry generates all atoms from Ca at (0.000, 0.000, 0.000), Ca at (0.500, 0.500, 0.500), Zn at (0.000, 0.000, 0.500) and Se at (0.500, 0.500, 0.000).



No. 8
Below is crystalline Ca2CoRhW at its relaxed geometry, with properties calculated at the PBE level.

For the density of states at the Fermi level, the calculation gives 1.259 states/eV/atom. The formation energy is 1.0787 eV per atom. The total energy is -5.20 eV/atom.

The structure belongs to space group P4/mmm (No. 123); the cell edges are 5.360, 5.360 and 4.737 Å and the angles 90.00°, 90.00° and 90.00°. Symmetry generates all atoms from Ca at (0.000, 0.500, 0.000), Co at (0.000, 0.000, 0.500), Rh at (0.500, 0.500, 0.000) and W at (0.500, 0.500, 0.500).



Q: Among the records above, which one has the lowest total energy?
A: NpSbBr



Q: What is the total energy in the fifth record?
A: -3.01 eV/atom



Q: Which value of total energy does entry 8 give?
A: -5.20 eV/atom



Q: Which of these has the lowest total energy?
A: NpSbBr